Entry 1:
! PBE Ba2ScO, relaxed; values from VASP
&SYSTEM
  ibrav = 0, nat = 8, ntyp = 3
/
ATOMIC_SPECIES
Sc 44.96 Sc.upf
Ba 137.33 Ba.upf
O 16.00 O.upf
ATOMIC_POSITIONS crystal
Sc 0.000 0.000 0.000
Sc 0.750 0.250 0.500
Ba 0.492 0.125 0.250
Ba 0.258 0.625 0.250
Ba 0.375 0.508 0.750
Ba 0.875 0.742 0.750
O 0.500 0.500 0.000
O 0.250 0.750 0.500
CELL_PARAMETERS angstrom
-7.662 -0.043 -2.109
0.300 -7.886 -0.930
-5.011 -4.586 3.323
! **Space group**: I-42d (122)
! **DOS(E_F)**: 6.929 states/eV/f.u.
! **Energy relative to the elements, uncorrected**: -0.73 eV/atom
! **Spin magnetization**: 2.27 μB per formula unit

Entry 2:
! PBE BaSc6O8, relaxed; values from VASP
&SYSTEM
  ibrav = 0, nat = 15, ntyp = 3
/
ATOMIC_SPECIES
Ba 137.33 Ba.upf
Sc 44.96 Sc.upf
O 16.00 O.upf
ATOMIC_POSITIONS crystal
Ba 0.000 0.000 0.000
Sc 0.643 0.427 0.812
Sc 0.427 0.812 0.643
Sc 0.812 0.643 0.427
Sc 0.357 0.573 0.188
Sc 0.573 0.188 0.357
Sc 0.188 0.357 0.573
O 0.742 0.742 0.742
O 0.258 0.258 0.258
O 0.563 0.848 0.337
O 0.848 0.337 0.563
O 0.337 0.563 0.848
O 0.437 0.152 0.663
O 0.152 0.663 0.437
O 0.663 0.437 0.152
CELL_PARAMETERS angstrom
-4.889 3.010 -2.440
-1.001 -5.294 -3.145
-3.013 -1.847 5.141
! **Space group**: R-3 (148)
! **DOS(E_F)**: 3.745 states/eV/f.u.
! **Energy relative to the elements, uncorrected**: -2.99 eV/atom
! **Spin magnetization**: 0.00 μB per formula unit

Entry 3:
! PBE Ba3Sc4O9, relaxed; values from VASP
&SYSTEM
  ibrav = 0, nat = 16, ntyp = 3
/
ATOMIC_SPECIES
Ba 137.33 Ba.upf
Sc 44.96 Sc.upf
O 16.00 O.upf
ATOMIC_POSITIONS crystal
Ba 0.996 0.996 0.012
Ba 0.838 0.838 0.485
Ba 0.417 0.417 0.749
Sc 0.574 0.574 0.277
Sc 0.135 0.135 0.595
Sc 0.260 0.260 0.221
Sc 0.699 0.699 0.903
O 0.962 0.457 0.080
O 0.501 0.962 0.080
O 0.457 0.501 0.080
O 0.872 0.378 0.417
O 0.333 0.872 0.417
O 0.378 0.333 0.417
O 0.918 0.417 0.749
O 0.417 0.916 0.749
O 0.916 0.918 0.749
CELL_PARAMETERS angstrom
5.514 0.000 1.946
2.414 4.958 1.946
0.032 0.020 8.694
! **Space group**: R-3 (148)
! **DOS(E_F)**: 0.000 states/eV/f.u.
! **Energy relative to the elements, uncorrected**: -3.20 eV/atom
! **Spin magnetization**: 0.00 μB per formula unit

Entry 4:
! PBE Ba4Sc3O10, relaxed; values from VASP
&SYSTEM
  ibrav = 0, nat = 17, ntyp = 3
/
ATOMIC_SPECIES
Ba 137.33 Ba.upf
Sc 44.96 Sc.upf
O 16.00 O.upf
ATOMIC_POSITIONS crystal
Ba 0.569 0.569 0.138
Ba 0.431 0.431 0.862
Ba 0.298 0.298 0.597
Ba 0.702 0.702 0.403
Sc 0.139 0.139 0.278
Sc 0.861 0.861 0.722
Sc 0.000 0.000 0.000
O 0.139 0.639 0.278
O 0.070 0.070 0.139
O 0.639 0.139 0.278
O 0.861 0.361 0.722
O 0.361 0.861 0.722
O 0.930 0.930 0.861
O 0.210 0.210 0.419
O 0.790 0.790 0.581
O 0.000 0.500 0.000
O 0.500 0.000 0.000
CELL_PARAMETERS angstrom
4.179 0.000 -0.567
-0.077 4.178 -0.567
-0.027 -0.027 15.474
! **Space group**: I4/mmm (139)
! **DOS(E_F)**: 12.549 states/eV/f.u.
! **Energy relative to the elements, uncorrected**: -2.77 eV/atom
! **Spin magnetization**: 3.09 μB per formula unit

Which value of energy relative to the elements, uncorrected does entry 2 give? -2.99 eV/atom